Entry 1:
TiMnTl2Re | Alexandria via LeMat-Bulk | PBE | optimized geometry; magnetic moment = 1.98 Bohr magnetons per cell; Fermi-level density of states = 6.41 states/eV/f.u.; calculated total energy = -5.054 eV per atom; ΔH_f (0 K) = 1794.8 meV/atom
1.0
5.196 0.000 0.000
0.000 5.196 0.000
0.000 0.000 4.088
Ti Mn Tl Re
1 1 2 1
direct
0.000 0.000 0.000
0.000 0.000 0.500
0.000 0.500 0.000
0.500 0.000 0.000
0.500 0.500 0.500

---

Entry 2:
TaTi3Sn | Alexandria via LeMat-Bulk | PBE | optimized geometry; magnetic moment = 0.01 Bohr magnetons per cell; Fermi-level density of states = 7.87 states/eV/f.u.; E above lowest polymorph = 1.315 eV per atom; calculated total energy = -6.576 eV per atom; ΔH_f (0 K) = 1332.5 meV/atom
1.0
4.895 0.000 0.000
0.000 4.895 0.000
0.000 0.000 4.895
Ta Ti Sn
1 3 1
direct
0.000 0.000 0.000
0.000 0.500 0.500
0.500 0.000 0.500
0.500 0.500 0.000
0.500 0.500 0.500

---

Entry 3:
SrMo2P | Alexandria via LeMat-Bulk | PBE | optimized geometry; magnetic moment = 0.00 Bohr magnetons per cell; Fermi-level density of states = 4.33 states/eV/f.u.; calculated total energy = -6.687 eV per atom; ΔH_f (0 K) = 501.0 meV/atom
1.0
3.541 0.000 0.000
0.000 5.004 0.000
0.000 0.000 8.715
Sr Mo P
2 4 2
direct
0.000 0.000 0.000
0.500 0.500 0.000
0.000 0.500 0.321
0.000 0.500 0.679
0.500 0.000 0.321
0.500 0.000 0.679
0.000 0.000 0.500
0.500 0.500 0.500

---

Entry 4:
RbAg2Pd | Alexandria via LeMat-Bulk | PBE | optimized geometry; magnetic moment = 0.00 Bohr magnetons per cell; Fermi-level density of states = 0.78 states/eV/f.u.; E above lowest polymorph = 0.204 eV per atom; calculated total energy = -2.754 eV per atom; ΔH_f (0 K) = 211.5 meV/atom
1.0
5.392 0.000 0.000
0.000 5.392 0.000
0.000 0.000 18.609
Rb Ag Pd
4 8 4
direct
0.000 0.250 0.375
0.000 0.750 0.625
0.500 0.250 0.125
0.500 0.750 0.875
0.000 0.000 0.000
0.000 0.500 0.000
0.250 0.250 0.750
0.250 0.750 0.250
0.500 0.000 0.500
0.500 0.500 0.500
0.750 0.250 0.750
0.750 0.750 0.250
0.000 0.250 0.875
0.000 0.750 0.125
0.500 0.250 0.625
0.500 0.750 0.375

---

Entry 5:
DyThGeIr | Alexandria via LeMat-Bulk | PBE | optimized geometry; magnetic moment = 0.00 Bohr magnetons per cell; Fermi-level density of states = 2.91 states/eV/f.u.; calculated total energy = -6.790 eV per atom; ΔH_f (0 K) = -414.8 meV/atom
1.0
4.126 0.000 0.000
0.000 4.126 0.000
0.000 0.000 11.236
Dy Th Ge Ir
2 2 2 2
direct
0.250 0.750 0.000
0.750 0.250 0.000
0.250 0.250 0.328
0.750 0.750 0.672
0.250 0.250 0.812
0.750 0.750 0.188
0.250 0.250 0.591
0.750 0.750 0.409

---

Entry 6:
PmPrEuTl | Alexandria via LeMat-Bulk | PBE | optimized geometry; magnetic moment = 30.24 Bohr magnetons per cell; Fermi-level density of states = 5.40 states/eV/f.u.; E above lowest polymorph = 0.000 eV per atom; calculated total energy = -5.634 eV per atom; ΔH_f (0 K) = -91.1 meV/atom
1.0
7.995 0.000 0.000
0.000 7.995 0.000
0.000 0.000 7.995
Pm Pr Eu Tl
4 4 4 4
direct
0.000 0.000 0.000
0.000 0.500 0.500
0.500 0.000 0.500
0.500 0.500 0.000
0.000 0.000 0.500
0.000 0.500 0.000
0.500 0.000 0.000
0.500 0.500 0.500
0.250 0.250 0.750
0.250 0.750 0.250
0.750 0.250 0.250
0.750 0.750 0.750
0.250 0.250 0.250
0.250 0.750 0.750
0.750 0.250 0.750
0.750 0.750 0.250

---

Entry 7:
BaTa2 | Alexandria via LeMat-Bulk | PBE | optimized geometry; magnetic moment = 0.00 Bohr magnetons per cell; Fermi-level density of states = 2.65 states/eV/f.u.; E above lowest polymorph = 0.272 eV per atom; calculated total energy = -7.725 eV per atom; ΔH_f (0 K) = 817.6 meV/atom
1.0
11.945 0.000 0.000
0.000 3.183 0.000
-0.180 0.000 8.767
Ba Ta
4 8
direct
0.000 0.000 0.000
0.248 0.000 0.705
0.500 0.500 0.000
0.748 0.500 0.705
0.112 0.500 0.353
0.259 0.000 0.193
0.395 0.500 0.381
0.498 0.000 0.605
0.612 0.000 0.353
0.759 0.500 0.193
0.895 0.000 0.381
0.998 0.500 0.605

---

Entry 8:
Pr2AgSn4Pd3 | Alexandria via LeMat-Bulk | PBE | optimized geometry; magnetic moment = 0.00 Bohr magnetons per cell; Fermi-level density of states = 4.41 states/eV/f.u.; calculated total energy = -5.087 eV per atom; ΔH_f (0 K) = -686.9 meV/atom
1.0
4.589 0.000 0.000
0.000 4.589 0.000
0.000 0.000 10.997
Pr Ag Sn Pd
2 1 4 3
direct
0.000 0.500 0.245
0.500 0.000 0.755
0.500 0.500 0.000
0.000 0.000 0.500
0.000 0.500 0.864
0.500 0.000 0.136
0.500 0.500 0.500
0.000 0.000 0.000
0.000 0.500 0.627
0.500 0.000 0.373

---

Entry 9:
KDyIr2O8 | Alexandria via LeMat-Bulk | PBE | optimized geometry; magnetic moment = 2.05 Bohr magnetons per cell; Fermi-level density of states = 8.31 states/eV/f.u.; calculated total energy = -6.422 eV per atom; uncorrected formation energy = -1.164 eV/atom
1.0
5.950 0.000 0.000
-2.975 5.153 0.000
0.000 0.000 7.665
K Dy Ir O
1 1 2 8
direct
0.000 0.000 0.000
0.000 0.000 0.500
0.333 0.667 0.775
0.667 0.333 0.225
0.167 0.336 0.684
0.169 0.833 0.684
0.333 0.667 0.007
0.336 0.169 0.316
0.664 0.831 0.684
0.667 0.333 0.993
0.831 0.167 0.316
0.833 0.664 0.316

---

Entry 10:
Pr5Si2I | Alexandria via LeMat-Bulk | PBE | optimized geometry; magnetic moment = 0.00 Bohr magnetons per cell; Fermi-level density of states = 10.32 states/eV/f.u.; calculated total energy = -5.121 eV per atom; uncorrected formation energy = -0.585 eV/atom
1.0
-4.034 4.034 7.183
4.034 -4.034 7.183
4.034 4.034 -7.183
Pr Si I
10 4 2
direct
0.000 0.000 0.000
0.019 0.519 0.809
0.210 0.019 0.500
0.290 0.790 0.809
0.481 0.290 0.500
0.500 0.500 0.000
0.519 0.710 0.500
0.710 0.210 0.191
0.790 0.981 0.500
0.981 0.481 0.191
0.146 0.354 0.500
0.354 0.854 0.208
0.646 0.146 0.792
0.854 0.646 0.500
0.250 0.250 0.000
0.750 0.750 0.000

---

Entry 11:
Ac3MnBe2N6 | Alexandria via LeMat-Bulk | PBE | optimized geometry; magnetic moment = 2.39 Bohr magnetons per cell; Fermi-level density of states = 6.11 states/eV/f.u.; calculated total energy = -7.311 eV per atom; uncorrected formation energy = -0.736 eV/atom
1.0
5.598 0.000 0.000
-2.799 4.848 0.000
0.000 0.000 6.449
Ac Mn Be N
3 1 2 6
direct
0.000 0.000 0.000
0.333 0.667 0.665
0.667 0.333 0.335
0.000 0.000 0.500
0.333 0.667 0.259
0.667 0.333 0.741
0.169 0.337 0.310
0.169 0.831 0.310
0.337 0.169 0.690
0.663 0.831 0.310
0.831 0.169 0.690
0.831 0.663 0.690

---

Entry 12:
SiMo2Br | Alexandria via LeMat-Bulk | PBE | optimized geometry; magnetic moment = 0.00 Bohr magnetons per cell; Fermi-level density of states = 2.43 states/eV/f.u.; E above lowest polymorph = 0.076 eV per atom; calculated total energy = -6.975 eV per atom; uncorrected formation energy = 0.214 eV/atom
1.0
3.216 0.000 0.000
0.000 3.216 0.000
0.000 0.000 6.750
Si Mo Br
1 2 1
direct
0.000 0.000 0.000
0.500 0.500 0.181
0.500 0.500 0.819
0.000 0.000 0.500